A relaxed structure of TiBeO2, computed with PBE.

```
data_TiBeO2
_chemical_formula_sum 'Ti3 Be3 O6'
_cell_length_a 2.8118
_cell_length_b 2.8118
_cell_length_c 16.7134
_cell_angle_alpha 90.00
_cell_angle_beta 90.00
_cell_angle_gamma 120.00
_space_group_name_H-M_alt 'R -3 m'
_space_group_IT_number 166
_space_group_name_Hall '-R 3 2"'
loop_
_atom_site_label
_atom_site_fract_x
_atom_site_fract_y
_atom_site_fract_z
Ti1 0.0000 0.0000 0.0000
Be1 0.0000 0.0000 0.5000
O1 0.0000 0.0000 0.1104
```

Summary:
V ... 9.5 Å³/atom
VASP energy ... -7.2414 eV per atom